(1)
# Er2TmAu, relaxed, DFT PBE
# density of states at the Fermi level = 9.10 states/eV per cell
# E = -37.01 eV per cell
# mass density = 10.49 g/cm³
# spin magnetization = 0.00 Bohr magnetons per cell
data_Er2TmAu
_chemical_formula_sum 'Er4 Tm2 Au2'
_symmetry_space_group_name_H-M 'P 1'
_symmetry_Int_Tables_number 1
_symmetry_space_group_name_Hall 'P 1'
_cell_length_a 6.328
_cell_length_b 6.328
_cell_length_c 7.816
_cell_angle_alpha 90.00
_cell_angle_beta 90.00
_cell_angle_gamma 134.90
loop_
_atom_site_label
_atom_site_type_symbol
_atom_site_fract_x
_atom_site_fract_y
_atom_site_fract_z
Er1 Er 0.144 0.856 0.537
Er2 Er 0.144 0.856 0.963
Er3 Er 0.856 0.144 0.037
Er4 Er 0.856 0.144 0.463
Tm1 Tm 0.457 0.543 0.750
Tm2 Tm 0.543 0.457 0.250
Au1 Au 0.294 0.706 0.250
Au2 Au 0.706 0.294 0.750


(2)
# Cd2HgAu, relaxed, DFT PBE
# density of states at the Fermi level = 1.16 states/eV per cell
# E = -5.66 eV per cell
# mass density = 11.39 g/cm³
# spin magnetization = 0.00 Bohr magnetons per cell
data_Cd2HgAu
_chemical_formula_sum 'Cd2 Hg1 Au1'
_symmetry_space_group_name_H-M 'P 1'
_symmetry_Int_Tables_number 1
_symmetry_space_group_name_Hall 'P 1'
_cell_length_a 6.786
_cell_length_b 6.786
_cell_length_c 6.786
_cell_angle_alpha 154.41
_cell_angle_beta 137.52
_cell_angle_gamma 50.25
loop_
_atom_site_label
_atom_site_type_symbol
_atom_site_fract_x
_atom_site_fract_y
_atom_site_fract_z
Cd1 Cd 0.000 0.000 0.000
Cd2 Cd 0.717 0.217 0.500
Hg1 Hg 0.293 0.793 0.500
Au1 Au 0.513 0.513 0.000


(3)
# Mg5HIr4, relaxed, DFT PBE
# density of states at the Fermi level = 3.00 states/eV per cell
# E = -49.40 eV per cell
# mass density = 9.90 g/cm³
# spin magnetization = 0.00 Bohr magnetons per cell
data_Mg5HIr4
_chemical_formula_sum 'Mg5 H1 Ir4'
_symmetry_space_group_name_H-M 'P 1'
_symmetry_Int_Tables_number 1
_symmetry_space_group_name_Hall 'P 1'
_cell_length_a 4.662
_cell_length_b 5.043
_cell_length_c 6.684
_cell_angle_alpha 76.30
_cell_angle_beta 78.51
_cell_angle_gamma 85.90
loop_
_atom_site_label
_atom_site_type_symbol
_atom_site_fract_x
_atom_site_fract_y
_atom_site_fract_z
Mg1 Mg 0.000 0.000 0.000
Mg2 Mg 0.152 0.568 0.765
Mg3 Mg 0.244 0.146 0.512
Mg4 Mg 0.756 0.854 0.488
Mg5 Mg 0.848 0.432 0.235
H1 H 0.500 0.500 0.500
Ir1 Ir 0.290 0.688 0.310
Ir2 Ir 0.438 0.232 0.083
Ir3 Ir 0.562 0.768 0.917
Ir4 Ir 0.710 0.312 0.690


(4)
# KCaAu2, relaxed, DFT PBE
# density of states at the Fermi level = 1.61 states/eV per cell
# E = -11.17 eV per cell
# mass density = 7.27 g/cm³
# spin magnetization = 0.00 Bohr magnetons per cell
data_KCaAu2
_chemical_formula_sum 'K1 Ca1 Au2'
_symmetry_space_group_name_H-M 'P 1'
_symmetry_Int_Tables_number 1
_symmetry_space_group_name_Hall 'P 1'
_cell_length_a 6.434
_cell_length_b 6.434
_cell_length_c 6.434
_cell_angle_alpha 145.67
_cell_angle_beta 133.43
_cell_angle_gamma 59.11
loop_
_atom_site_label
_atom_site_type_symbol
_atom_site_fract_x
_atom_site_fract_y
_atom_site_fract_z
K1 K 0.000 0.000 0.000
Ca1 Ca 0.704 0.204 0.500
Au1 Au 0.271 0.771 0.500
Au2 Au 0.471 0.471 0.000